DFT (PBE) results for a relaxed Mg2TlZn crystal.

Geometry as extended XYZ:
```
4
Lattice="-0.5125 3.0820 0.9311 -3.0290 -0.7810 0.9186 2.7433 -1.8114 7.5058" Properties=species:S:1:pos:R:3 pbc="T T T"
Mg 2.6381 -1.7419 7.2179
Mg 1.4769 -0.9752 4.0409
Tl -1.0849 0.6976 2.8013
Zn 0.2867 -0.2081 6.5542
```

The value obtained for the total energy is -1.751 eV per atom. The calculation puts the calculated formation energy at -0.176 eV per formula unit.

DFT (PBE) results for a relaxed MgTl2Zn crystal.

Geometry as extended XYZ:
```
4
Lattice="-0.0952 -2.2386 9.6359 0.3328 -5.3647 8.3055 3.0420 -3.3308 8.8048" Properties=species:S:1:pos:R:3 pbc="T T T"
Mg 2.4597 -8.2005 20.0596
Tl 3.2656 -10.8877 26.6328
Tl 1.6537 -5.5134 13.4865
Zn 0.8199 -2.7335 6.6865
```

The value obtained for the total energy is -1.820 eV per atom. The calculation puts the calculated formation energy at 0.323 eV per formula unit.

DFT (PBE) results for a relaxed MgTl2Zn crystal.

Geometry as extended XYZ:
```
4
Lattice="5.5746 0.1074 0.0000 1.5799 5.3471 0.0000 -3.5772 -2.7273 3.2944" Properties=species:S:1:pos:R:3 pbc="T T T"
Mg 2.7873 0.0537 1.6472
Tl 0.0000 0.0000 0.0000
Tl 3.5772 2.7273 0.0000
Zn 0.7899 2.6736 1.6472
```

The value obtained for the total energy is -1.806 eV per atom. The calculation puts the calculated formation energy at 0.376 eV per formula unit.

DFT (PBE) results for a relaxed MgZrTlZn crystal.

Geometry as extended XYZ:
```
4
Lattice="-2.5701 2.5500 3.3125 0.9815 -0.5008 4.7819 2.1320 3.6690 2.4646" Properties=species:S:1:pos:R:3 pbc="T T T"
Mg 0.0000 0.0000 0.0000
Tl 0.1358 1.4295 2.6398
Zn 0.4075 4.2886 7.9193
Zr 0.2717 2.8591 5.2795
```

The value obtained for the total energy is -3.408 eV per atom. The calculation puts the calculated formation energy at 0.153 eV per formula unit.